The following is a DFT calculation (PBEsol) of a relaxed structure of ZnReSnAs2.

The theoretical density comes out at 6.8 g/cm3. For the energy of formation from the pure elements, the calculation gives 1.88 eV/atom. As for the total magnetization: 0.747 μB/atom. The value obtained for the uncorrected energy is -4.00 eV per atom.

Lattice parameters (Å, degrees): 5.1873 5.1873 4.7223 90.00 90.00 90.00
With the nearest neighbours (Å) after each atom.
Positions (direct):
Zn1 0.0000 0.0000 0.0000  2 Sn 2.36
Re1 0.5000 0.5000 0.0000  8 As 3.51, 4 Zn 3.67
Sn1 0.0000 0.0000 0.5000  2 Zn 2.36, 4 As 2.59
As1 0.0000 0.5000 0.5000  2 Sn 2.59
As2 0.5000 0.0000 0.5000  2 Sn 2.59